# Rb3PPt4

A relaxed Rb3PPt4 crystal (GGA-PBE, Alexandria via LeMat-Bulk).

Values from the calculation:
calculated volume = 28.79 Å³ per atom
ΔE_f = -0.075 eV/atom
total DFT energy (no corrections) = -4.135 eV per atom
magnetization = 0.0 μB per cell
symmetry = Pmmn (59)

abc: 5.781 5.805 13.724
angles: 90.00 90.00 90.00
Fractional coordinates of all 16 atoms:
Pt: 0.678 0.000 0.598
Pt: 0.951 0.745 0.000
Pt: 0.678 0.000 0.402
Pt: 0.951 0.255 0.000
Pt: 0.049 0.755 0.500
Pt: 0.322 0.500 0.902
Pt: 0.322 0.500 0.098
Pt: 0.049 0.245 0.500
Rb: 0.791 0.500 0.251
Rb: 0.553 0.500 0.500
Rb: 0.209 0.000 0.249
Rb: 0.209 0.000 0.751
Rb: 0.791 0.500 0.749
Rb: 0.447 0.000 0.000
P: 0.644 0.500 0.000
P: 0.356 0.000 0.500


# Th8Co3IrSe4

A relaxed Th8Co3IrSe4 crystal (GGA-PBE, Alexandria via LeMat-Bulk).

Values from the calculation:
calculated volume = 25.95 Å³ per atom
total DFT energy (no corrections) = -7.497 eV per atom
magnetization = 0.0 μB per cell
energy relative to the elements, uncorrected = -1029.4 meV per atom
symmetry = R-3m (166)

abc: 8.099 8.676 8.101
angles: 117.84 119.99 90.00
Fractional coordinates of all 16 atoms:
Co: 0.500 0.500 0.000
Co: 0.500 0.500 0.500
Co: 0.000 0.500 0.500
Se: 0.500 0.000 0.500
Se: 0.000 0.000 0.500
Se: 0.500 0.000 0.000
Se: 0.000 0.000 0.000
Th: 0.759 0.288 0.028
Th: 0.759 0.288 0.519
Th: 0.264 0.292 0.528
Th: 0.269 0.288 0.028
Th: 0.736 0.708 0.472
Th: 0.241 0.712 0.481
Th: 0.731 0.712 0.972
Th: 0.241 0.712 0.972
Ir: 0.000 0.500 0.000


# CoTeBr

A relaxed CoTeBr crystal (GGA-PBE, Alexandria via LeMat-Bulk).

Values from the calculation:
calculated volume = 22.53 Å³ per atom
total DFT energy (no corrections) = -3.746 eV per atom
magnetization = 0.0 μB per cell
energy relative to the elements, uncorrected = 228.0 meV per atom
symmetry = I4mm (107)

abc: 6.890 6.890 6.890
angles: 152.94 152.94 38.64
Fractional coordinates of all 3 atoms:
Co: 0.322 0.322 0.000
Te: 0.719 0.719 0.000
Br: 0.959 0.959 0.000